(1)
Pr4TmPb4, relaxed, DFT PBE; energy of formation from the pure elements = -3.01 eV per formula unit
1.0
-1.5085 -0.5656 -6.4218
7.7644 -5.5093 -1.3387
-5.2293 -7.8361 1.9185
Pb Pr Tm
8 8 2
direct
0.6450 0.7733 0.4052
0.6450 0.2267 0.5948
0.8550 0.7267 0.0948
0.8550 0.2733 0.9052
0.1450 0.9052 0.7267
0.1450 0.0948 0.2733
0.3550 0.5948 0.7733
0.3550 0.4052 0.2267
0.8643 0.4220 0.2237
0.6357 0.9220 0.7237
0.8643 0.5780 0.7763
0.1357 0.7763 0.4220
0.1357 0.2237 0.5780
0.6357 0.0780 0.2763
0.3643 0.7237 0.0780
0.3643 0.2763 0.9220
0.0000 0.0000 0.0000
0.5000 0.5000 0.5000

---

(2)
SrLi7In5, relaxed, DFT PBE; energy of formation from the pure elements = -3.37 eV per formula unit
1.0
-3.2560 -3.2422 3.9453
-0.6774 -7.3028 -1.9120
4.1470 -3.0562 5.5594
Sr In Li
1 5 7
direct
0.0004 0.9996 0.9996
0.4978 0.0060 0.4886
0.0076 0.0060 0.4886
0.0076 0.4886 0.0060
0.6972 0.8028 0.8028
0.4978 0.4886 0.0060
0.2932 0.2068 0.2068
0.3474 0.6526 0.6526
0.9946 0.3558 0.6551
0.6548 0.3452 0.3452
0.9946 0.6551 0.3558
0.5036 0.2173 0.7756
0.5036 0.7756 0.2173

---

(3)
VASP calculation (PBE) on a relaxed Dy2YUN4 crystal.

Geometry as POSCAR:
```
Dy2YUN4
1.0
3.4627 0.0000 0.0000
0.0000 5.9802 0.1282
0.0000 -2.0683 5.6121
N Dy U Y
4 2 1 1
direct
0.0000 0.7636 0.2377
0.5000 0.7606 0.7601
0.5000 0.2394 0.2399
0.0000 0.2364 0.7623
0.0000 0.5000 0.5000
0.5000 0.0000 0.5000
0.0000 0.0000 0.0000
0.5000 0.5000 0.0000
```

---

no.,calculated total energy (Ry per atom),N(E_F) (states/eV/cell)
1,-0.33833,12.652
2,-0.18170,4.476
3,-0.67270,4.379